1.
A plane-wave DFT calculation with meta-GGA SCAN was carried out for TaNiSeBr2 at its PBEsol-relaxed geometry.

Results
spin magnetization = 2.3 Bohr magnetons per cell
energy relative to the elements, uncorrected = 0.391 eV/atom
space group = P4/mmm, No. 123

Cell: 4.968 5.024 5.024 Å, 90.00 90.00 90.00°
Site moments in Bohr magnetons follow the coordinates.
Positions (direct):
Br  0.000  0.500  0.000  0.02
Br  0.000  0.000  0.500  0.02
Se  0.500  0.000  0.000  0.01
Ni  0.500  0.500  0.500  1.49
Ta  0.000  0.000  0.000  0.17

2.
A plane-wave DFT calculation with meta-GGA SCAN was carried out for TbGePd at its PBEsol-relaxed geometry.

Results
spin magnetization = 0.0 Bohr magnetons per cell
energy of formation = -3.1 eV/f.u.
space group = C2/m, No. 12

Cell: 4.306 5.575 5.631 Å, 76.86 67.52 67.28°
Positions (direct):
Pd  0.176  0.374  0.274
Pd  0.824  0.626  0.726
Tb  0.452  0.788  0.309
Ge  0.159  0.781  0.901
Ge  0.841  0.219  0.099
Tb  0.548  0.212  0.691

3.
A plane-wave DFT calculation with meta-GGA SCAN was carried out for IrSe3F at its PBEsol-relaxed geometry.

Results
spin magnetization = 0.0 Bohr magnetons per cell
energy relative to the elements, uncorrected = 1.256 eV/atom
space group = Pm-3m, No. 221

Cell: 4.430 4.430 4.430 Å, 90.00 90.00 90.00°
Positions (direct):
Se  0.000  0.000  0.500
F  0.000  0.000  0.000
Ir  0.500  0.500  0.500
Se  0.500  0.000  0.000
Se  0.000  0.500  0.000

4.
A plane-wave DFT calculation with meta-GGA SCAN was carried out for TaFeMo2 at its PBEsol-relaxed geometry.

Results
polymorph energy (0 for the lowest one) = 122 meV per atom
spin magnetization = 2.0 Bohr magnetons per cell
energy of formation = 0.4 eV/f.u.
space group = Fm-3m, No. 225

Cell: 4.371 4.371 4.371 Å, 60.00 60.00 60.00°
Site moments in Bohr magnetons follow the coordinates.
Positions (direct):
Mo  0.250  0.250  0.250  -0.38
Fe  0.000  0.000  0.000  2.66
Mo  0.750  0.750  0.750  -0.38
Ta  0.500  0.500  0.500  0.11

Number 1: E -27.96 eV per atom. Number 2: E -33.91 eV per atom. Number 3: E -25.72 eV per atom. Number 4: E -38.52 eV per atom.